Record 1
PBE CrReB, optimized geometry; space-group type = No. 38; polymorph energy (0 for the lowest one) = 133 meV per atom; formation energy = -19 kJ/mol of atoms; final energy = -9.779 eV/atom
1.0
2.850 0.000 0.000
0.000 1.452 3.995
0.000 -1.452 3.995
Cr Re B
1 1 1
Direct
0.000 0.000 0.000 Cr
0.500 0.703 0.703 Re
0.500 0.413 0.413 B

***

Record 2
PBE CsPa2AgS6, optimized geometry; space-group type = No. 15; ΔE_f (raw) = -1098 meV per atom; final energy = -5.844 eV/atom
1.0
6.211 -7.767 0.000
6.211 7.767 0.000
-3.300 0.000 7.687
Cs Pa Ag S
2 4 2 12
Direct
0.108 0.892 0.750 Cs
0.892 0.108 0.250 Cs
0.281 0.451 0.846 Pa
0.451 0.281 0.346 Pa
0.549 0.719 0.654 Pa
0.719 0.549 0.154 Pa
0.185 0.815 0.250 Ag
0.815 0.185 0.750 Ag
0.070 0.232 0.711 S
0.179 0.636 0.970 S
0.232 0.070 0.211 S
0.333 0.451 0.541 S
0.364 0.821 0.530 S
0.451 0.333 0.041 S
0.549 0.667 0.959 S
0.636 0.179 0.470 S
0.667 0.549 0.459 S
0.768 0.930 0.789 S
0.821 0.364 0.030 S
0.930 0.768 0.289 S

***

Record 3
PBE Nd4TmSc2, optimized geometry; space-group type = No. 11; polymorph energy (0 for the lowest one) = 0 meV per atom; formation energy = 15 kJ/mol of atoms; final energy = -5.014 eV/atom
1.0
5.563 0.000 0.000
0.000 6.877 0.000
-2.782 0.000 11.583
Nd Tm Sc
8 2 4
Direct
0.066 0.250 0.132 Nd
0.219 0.750 0.437 Nd
0.356 0.504 0.713 Nd
0.356 0.996 0.713 Nd
0.644 0.004 0.287 Nd
0.644 0.496 0.287 Nd
0.781 0.250 0.563 Nd
0.934 0.750 0.868 Nd
0.078 0.750 0.156 Tm
0.922 0.250 0.844 Tm
0.206 0.250 0.415 Sc
0.498 0.250 0.994 Sc
0.502 0.750 0.006 Sc
0.794 0.750 0.585 Sc

***

Record 4
PBE Dy6Er3Sc2, optimized geometry; space-group type = No. 166; polymorph energy (0 for the lowest one) = 0 meV per atom; formation energy = 4 kJ/mol of atoms; final energy = -4.869 eV/atom
1.0
1.746 1.008 31.074
-1.746 1.008 31.074
0.000 -2.016 31.074
Dy Er Sc
6 3 2
Direct
0.093 0.093 0.093 Dy
0.182 0.182 0.182 Dy
0.364 0.364 0.364 Dy
0.636 0.636 0.636 Dy
0.818 0.818 0.818 Dy
0.907 0.907 0.907 Dy
0.000 0.000 0.000 Er
0.271 0.271 0.271 Er
0.729 0.729 0.729 Er
0.455 0.455 0.455 Sc
0.545 0.545 0.545 Sc

***

Record 5
PBE LiY2Pb, optimized geometry; space-group type = No. 166; formation energy = -4 kJ/mol of atoms; final energy = -4.674 eV/atom
1.0
1.791 1.034 10.527
-1.791 1.034 10.527
0.000 -2.068 10.527
Li Y Pb
1 2 1
Direct
0.000 0.000 0.000 Li
0.249 0.249 0.249 Y
0.751 0.751 0.751 Y
0.500 0.500 0.500 Pb

***

Record 6
PBE NaTcAgI2, optimized geometry; space-group type = No. 123; ΔE_f (raw) = 631 meV per atom; final energy = -2.896 eV/atom
1.0
5.358 0.000 0.000
0.000 5.358 0.000
0.000 0.000 5.747
Na Tc Ag I
1 1 1 2
Direct
0.000 0.000 0.000 Na
0.000 0.000 0.500 Tc
0.500 0.500 0.000 Ag
0.000 0.500 0.500 I
0.500 0.000 0.500 I